Crystalline Sm5DyMg at its relaxed geometry. Source: the Alexandria database, functional PBE.

The crystal system is monoclinic. The total energy comes out at -4.15 eV/atom. The value obtained for the total moment is 0.0 μB/cell.

The space group is C2/c (No. 15) and the conventional cell measures 8.641, 9.609 and 11.834 Å, with angles of 90.00, 111.19 and 90.00 degrees. The inequivalent atoms are Sm at (0.000, 0.111, 0.250), Sm at (0.111, 0.436, 0.155), Sm at (0.174, 0.091, 0.038), Dy at (0.000, 0.243, 0.750) and Mg at (0.250, 0.250, 0.500).

***

Crystalline LiAcBiS3 at its relaxed geometry. Source: the Alexandria database, functional PBE.

The crystal system is monoclinic. The raw formation energy is -1.169 eV/atom. The value obtained for the total moment is 0.0 μB/cell.

The space group is P2_1/m (No. 11) and the conventional cell measures 8.728, 3.939 and 9.467 Å, with angles of 90.00, 99.06 and 90.00 degrees. The inequivalent atoms are Li at (0.091, 0.250, 0.087), Ac at (0.288, 0.750, 0.834), Bi at (0.327, 0.750, 0.335), S at (0.022, 0.250, 0.819), S at (0.363, 0.250, 0.080) and S at (0.370, 0.250, 0.609).

***

Crystalline Ba4PtRh at its relaxed geometry. Source: the Alexandria database, functional PBE.

The crystal system is monoclinic. As for the energy above the most stable polymorph in this dataset: 0 meV per atom. The value obtained for the total moment is 0.0 μB/cell.

The space group is P2_1/c (No. 14) and the conventional cell measures 8.834, 7.440 and 8.833 Å, with angles of 90.00, 116.18 and 90.00 degrees. The inequivalent atoms are Ba at (0.151, 0.212, 0.342), Ba at (0.342, 0.703, 0.649), Pt at (0.500, 0.000, 0.500) and Rh at (0.000, 0.000, 0.000).

***

Crystalline Ca3H5Br at its relaxed geometry. Source: the Alexandria database, functional PBE.

The crystal system is orthorhombic. The total energy comes out at -3.53 eV/atom. The value obtained for the total moment is 0.0 μB/cell.

The space group is Cmcm (No. 63) and the conventional cell measures 3.751, 12.322 and 10.977 Å, with angles of 90.00, 90.00 and 90.00 degrees. The inequivalent atoms are Ca at (0.000, 0.087, 0.250), Ca at (0.000, 0.376, 0.037), H at (0.000, 0.000, 0.000), H at (0.000, 0.192, 0.066), H at (0.000, 0.458, 0.642) and Br at (0.000, 0.169, 0.750).

***

Crystalline CaZr2Pb at its relaxed geometry. Source: the Alexandria database, functional PBE.

The crystal system is orthorhombic. The total energy comes out at -5.55 eV/atom. The value obtained for the total moment is 0.0 μB/cell.

The space group is Cmmm (No. 65) and the conventional cell measures 6.368, 9.793 and 3.292 Å, with angles of 90.00, 90.00 and 90.00 degrees. The inequivalent atoms are Ca at (0.000, 0.000, 0.000), Zr at (0.250, 0.250, 0.500) and Pb at (0.000, 0.500, 0.000).

***

Crystalline MnBiCl3 at its relaxed geometry. Source: the Alexandria database, functional PBE.

The crystal system is cubic. The raw formation energy is -0.418 eV/atom. As for the energy above the most stable polymorph in this dataset: 0 meV per atom. The value obtained for the total moment is 4.7 μB/cell.

The space group is Pm-3m (No. 221) and the conventional cell measures 4.986, 4.986 and 4.986 Å, with angles of 90.00, 90.00 and 90.00 degrees. The inequivalent atoms are Mn at (0.000, 0.000, 0.000), Bi at (0.500, 0.500, 0.500) and Cl at (0.000, 0.000, 0.500).